No. 1
Crystalline SrBeZn2Au5 at its relaxed geometry, computed with PBE.

Summary:
E_form, eV/atom: -0.277
Total magnetization, μB per formula unit: 0.00

a b c (Å): 4.5726 6.0669 7.5849
angles (deg): 113.57 107.54 90.00
With the nearest neighbours (Å) after each atom.
Fractional positions:
Sr: 0.0000 0.5000 0.0000  10 Au 3.03-3.34
Be: 0.5000 0.0000 0.0000  6 Au 2.29-2.42
Zn: 0.1972 0.1972 0.3944  7 Au 2.59-2.82
Zn: 0.8028 0.8028 0.6056  7 Au 2.59-2.82
Au: 0.6441 0.8964 0.2882  1 Be 2.42, 1 Zn 2.59
Au: 0.3559 0.1036 0.7118  1 Be 2.42, 1 Zn 2.59
Au: 0.3559 0.6081 0.7118  1 Be 2.42, 1 Zn 2.59
Au: 0.6441 0.3919 0.2882  1 Be 2.42, 1 Zn 2.59
Au: 0.0000 0.0000 0.0000  2 Be 2.29


No. 2
Crystalline Er6BiIr at its relaxed geometry, computed with PBE.

Summary:
E_form, eV/atom: -0.265
Total magnetization, μB per formula unit: 0.00

a b c (Å): 6.8029 6.8103 7.6436
angles (deg): 63.59 63.66 60.04
With the nearest neighbours (Å) after each atom.
Fractional positions:
Er: 0.0384 0.4183 0.7676  1 Ir 2.68
Er: 0.7751 0.0380 0.7678  1 Ir 2.68
Er: 0.5819 0.2245 0.2323  1 Ir 2.68
Er: 0.2249 0.9620 0.2322  1 Ir 2.68
Er: 0.9616 0.5817 0.2324  1 Ir 2.68
Er: 0.4181 0.7755 0.7677  1 Ir 2.68
Bi: 0.5000 0.5000 0.5000  6 Er 3.06
Ir: 0.0000 0.0000 0.0000  6 Er 2.68


No. 3
Crystalline ZrCrCl2 at its relaxed geometry, computed with PBE.

Summary:
Formation energy (no corrections), meV/atom: -123.9
Excess energy over the best structure of this formula in the dataset, meV per atom: 564.4
Total magnetization, μB per formula unit: 3.99

a b c (Å): 4.6117 4.6117 4.6117
angles (deg): 60.00 60.00 60.00
With the nearest neighbours (Å) after each atom.
Fractional positions:
Cr: 0.0000 0.0000 0.0000  8 Cl 2.82
Zr: 0.5000 0.5000 0.5000  8 Cl 2.82
Cl: 0.2500 0.2500 0.2500  4 Zr 2.82, 4 Cr 2.82
Cl: 0.7500 0.7500 0.7500  4 Zr 2.82, 4 Cr 2.82


No. 4
Crystalline LaPmPrIn at its relaxed geometry, computed with PBE.

Summary:
E_form, eV/atom: -0.149
Excess energy over the best structure of this formula in the dataset, meV per atom: 103.1
Total magnetization, μB per formula unit: 1.16

a b c (Å): 5.6651 5.6651 5.6651
angles (deg): 60.00 60.00 60.00
With the nearest neighbours (Å) after each atom.
Fractional positions:
Pr: 0.7500 0.7500 0.7500  4 Pm 3.47, 4 In 3.47
La: 0.2500 0.2500 0.2500  4 In 3.47, 4 Pm 3.47
In: 0.0000 0.0000 0.0000  4 La 3.47, 4 Pr 3.47
Pm: 0.5000 0.5000 0.5000  4 La 3.47, 4 Pr 3.47


No. 5
Crystalline Sr4Pa3NiN8 at its relaxed geometry, computed with PBE.

Summary:
Formation energy (no corrections), meV/atom: -1053.8
Total magnetization, μB per formula unit: 1.12

a b c (Å): 7.0320 7.1834 7.2118
angles (deg): 119.26 119.18 90.00
With the nearest neighbours (Å) after each atom.
Fractional positions:
Sr: 0.5000 0.0000 0.0000  6 N 2.52-2.62
Sr: 0.5000 0.0000 0.5000  6 N 2.67-2.87
Sr: 0.0000 0.0000 0.0000  6 N 2.75-2.79
Sr: 0.0000 0.0000 0.5000  6 N 2.67-2.87
Pa: 0.5000 0.5000 0.0000  6 N 2.31-2.45
Pa: 0.5000 0.5000 0.5000  6 N 2.28-2.37
Pa: 0.0000 0.5000 0.5000  6 N 2.28-2.37
Ni: 0.0000 0.5000 0.0000  4 N 2.45
N: 0.2401 0.6970 0.9527  2 Pa 2.31-2.37, 1 Ni 2.45
N: 0.2616 0.7123 0.5231  2 Pa 2.28, 1 Sr 2.52
N: 0.2660 0.2947 0.5319  3 Pa 2.37-2.45
N: 0.7127 0.6970 0.9527  2 Pa 2.31-2.37, 1 Ni 2.45
N: 0.2873 0.3030 0.0473  2 Pa 2.31-2.37, 1 Ni 2.45
N: 0.7340 0.7053 0.4681  3 Pa 2.37-2.45
N: 0.7384 0.2877 0.4769  2 Pa 2.28, 1 Sr 2.52
N: 0.7599 0.3030 0.0473  2 Pa 2.31-2.37, 1 Ni 2.45


No. 6
Crystalline Cs2BaF at its relaxed geometry, computed with PBE.

Summary:
Formation energy (no corrections), meV/atom: -1121.9
Excess energy over the best structure of this formula in the dataset, meV per atom: 60.6
Total magnetization, μB per formula unit: 0.00

a b c (Å): 9.1448 9.1448 9.1483
angles (deg): 60.01 60.01 90.00
With the nearest neighbours (Å) after each atom.
Fractional positions:
Cs: 0.3816 0.1250 0.2500  2 F 2.80
Cs: 0.3684 0.6250 0.2500  2 F 2.80
Cs: 0.3750 0.6184 0.7500  2 F 2.80
Cs: 0.8750 0.6316 0.7500  2 F 2.80
Ba: 0.0000 0.0000 0.0000  12 Cs 5.31-5.41, 4 Ba 5.60, 4 F 5.60
Ba: 0.7500 0.2500 0.5000  12 Cs 5.31-5.41, 4 Ba 5.60, 4 F 5.60
F: 0.5000 0.5000 0.0000  4 Cs 2.80
F: 0.2500 0.7500 0.5000  4 Cs 2.80